# 1
The following is a DFT calculation (PBE) of an optimized crystal structure of VCuH.

Cell: 2.6731 2.6731 4.5681 Å, 90.00 90.00 120.00°
With the nearest neighbours (Å) after each atom.
Space group P3m1 (No. 156)
Asymmetric unit:
V  0.0000  0.0000  0.0000 [1 per cell]  3 H 1.84
Cu  0.6667  0.3333  0.4732 [1 per cell]  3 H 2.09
H  0.3333  0.6667  0.7801 [1 per cell]  3 V 1.84

The value obtained for the magnetization is 0.00 μB per formula unit. As for the total energy: -5.450 eV/atom.

# 2
The following is a DFT calculation (PBE) of an optimized crystal structure of VCuH.

Cell: 2.5092 2.5092 9.4477 Å, 90.00 90.00 90.00°
With the nearest neighbours (Å) after each atom.
Space group I4mm (No. 107)
Asymmetric unit:
V  0.0000  0.0000  0.0000 [2 per cell]  4 H 1.89
Cu  0.0000  0.0000  0.2840 [2 per cell]  4 Cu 2.51, 5 V 2.68-2.70, 5 H 2.68-2.70
H  0.0000  0.0000  0.5681 [2 per cell]  4 V 1.89

The value obtained for the magnetization is 0.13 μB per formula unit. As for the total energy: -5.357 eV/atom.

# 3
The following is a DFT calculation (PBE) of an optimized crystal structure of V3CuH3.

Cell: 4.9691 4.9691 4.9691 Å, 90.00 90.00 90.00°
With the nearest neighbours (Å) after each atom.
Space group Pm-3n (No. 223)
Asymmetric unit:
V  0.0000  0.2500  0.5000 [6 per cell]  4 H 1.76
Cu  0.0000  0.0000  0.0000 [2 per cell]  12 H 2.78, 12 V 2.78
H  0.0000  0.5000  0.2500 [6 per cell]  4 V 1.76

The value obtained for the magnetization is 0.00 μB per formula unit. As for the total energy: -6.018 eV/atom.

# 4
The following is a DFT calculation (PBE) of an optimized crystal structure of V2CuH2.

Cell: 5.8057 5.8057 2.5654 Å, 90.00 90.00 90.00°
With the nearest neighbours (Å) after each atom.
Space group P4/mbm (No. 127)
Asymmetric unit:
V  0.1497  0.3503  0.0000 [4 per cell]  6 H 2.11-2.15
Cu  0.0000  0.0000  0.5000 [2 per cell]  4 H 2.24
H  0.1395  0.6395  0.5000 [4 per cell]  6 V 2.11-2.15, 2 Cu 2.24, 1 H 2.29

The value obtained for the magnetization is 0.00 μB per formula unit. As for the total energy: -5.657 eV/atom.

# 5
The following is a DFT calculation (PBE) of an optimized crystal structure of V3CuH.

Cell: 4.7993 4.3873 5.2427 Å, 90.00 93.82 90.00°
With the nearest neighbours (Å) after each atom.
Space group P2_1 (No. 4)
Asymmetric unit:
V  0.1247  0.0000  0.2275 [2 per cell]  1 H 1.80
V  0.3466  0.4919  0.5275 [2 per cell]  2 H 1.79-1.96
V  0.3492  0.5273  0.0352 [2 per cell]  1 H 1.80
Cu  0.1543  0.0074  0.7372 [2 per cell]  1 H 2.31, 1 V 2.56
H  0.4431  0.2192  0.2504 [2 per cell]  4 V 1.79-1.96

The value obtained for the magnetization is 0.00 μB per formula unit. As for the total energy: -6.902 eV/atom.

# 6
The following is a DFT calculation (PBE) of an optimized crystal structure of V2CuH2.

Cell: 3.2543 3.2543 8.3894 Å, 90.00 90.00 90.00°
With the nearest neighbours (Å) after each atom.
Space group I4/mmm (No. 139)
Asymmetric unit:
V  0.0000  0.0000  0.1578 [4 per cell]  4 H 1.80
Cu  0.0000  0.0000  0.5000 [2 per cell]  8 H 2.65, 10 V 2.65-2.87
H  0.0000  0.5000  0.2500 [4 per cell]  4 V 1.80

The value obtained for the magnetization is 0.00 μB per formula unit. As for the total energy: -5.832 eV/atom.

# 7
The following is a DFT calculation (PBE) of an optimized crystal structure of VCu2H.

Cell: 5.6572 5.6572 5.6572 Å, 90.00 90.00 90.00°
With the nearest neighbours (Å) after each atom.
Space group Fm-3m (No. 225)
Asymmetric unit:
V  0.0000  0.0000  0.0000 [4 per cell]  8 Cu 2.45
Cu  0.2500  0.2500  0.2500 [8 per cell]  4 H 2.45, 4 V 2.45
H  0.0000  0.0000  0.5000 [4 per cell]  8 Cu 2.45

The value obtained for the magnetization is 0.00 μB per formula unit. As for the total energy: -4.309 eV/atom.

# 8
The following is a DFT calculation (PBE) of an optimized crystal structure of VCuH2.

Cell: 2.7405 2.7405 14.7538 Å, 90.00 90.00 120.00°
With the nearest neighbours (Å) after each atom.
Space group R3m (No. 160, hexagonal axes)
Asymmetric unit:
V  0.0000  0.0000  0.0000 [3 per cell]  6 H 1.83-1.84
Cu  0.0000  0.0000  0.1793 [3 per cell]  6 H 2.09-2.33
H  0.0000  0.0000  0.3967 [3 per cell]  3 V 1.84
H  0.0000  0.0000  0.6047 [3 per cell]  3 V 1.83

The value obtained for the magnetization is 0.00 μB per formula unit. As for the total energy: -4.937 eV/atom.

# 9
The following is a DFT calculation (PBE) of an optimized crystal structure of VCuH2.

Cell: 2.7936 2.7936 14.4998 Å, 90.00 90.00 120.00°
With the nearest neighbours (Å) after each atom.
Space group R-3m (No. 166, hexagonal axes)
Asymmetric unit:
V  0.0000  0.0000  0.0000 [3 per cell]  6 H 1.78
Cu  0.0000  0.0000  0.5000 [3 per cell]  2 H 1.65
H  0.0000  0.0000  0.3859 [6 per cell]  1 Cu 1.65, 3 V 1.78

The value obtained for the magnetization is 0.00 μB per formula unit. As for the total energy: -5.006 eV/atom.

# 10
The following is a DFT calculation (PBE) of an optimized crystal structure of VCuH.

Cell: 8.9309 3.6496 3.7948 Å, 90.00 115.01 90.00°
With the nearest neighbours (Å) after each atom.
Space group C2/m (No. 12)
Asymmetric unit:
V  0.1198  0.0000  0.3696 [4 per cell]  3 H 1.78-1.85
Cu  0.1315  0.5000  0.8817 [4 per cell]  2 H 1.91
H  0.1598  0.5000  0.4098 [4 per cell]  3 V 1.78-1.85, 2 Cu 1.91

The value obtained for the magnetization is 0.00 μB per formula unit. As for the total energy: -5.448 eV/atom.

# 11
The following is a DFT calculation (PBE) of an optimized crystal structure of VCuH2.

Cell: 3.9619 3.9619 8.3125 Å, 90.00 90.00 90.00°
With the nearest neighbours (Å) after each atom.
Space group I-42d (No. 122)
Asymmetric unit:
V  0.0000  0.0000  0.0000 [4 per cell]  4 H 1.75
Cu  0.0000  0.0000  0.5000 [4 per cell]  4 H 1.73
H  0.2453  0.2500  0.6250 [8 per cell]  2 Cu 1.73, 2 V 1.75

The value obtained for the magnetization is 0.00 μB per formula unit. As for the total energy: -4.868 eV/atom.

# 12
The following is a DFT calculation (PBE) of an optimized crystal structure of VCuH3.

Cell: 3.3360 3.3360 3.3360 Å, 90.00 90.00 90.00°
With the nearest neighbours (Å) after each atom.
Space group Pm-3m (No. 221)
Asymmetric unit:
V  0.0000  0.0000  0.0000 [1 per cell]  12 H 2.36
Cu  0.5000  0.5000  0.5000 [1 per cell]  6 H 1.67
H  0.0000  0.5000  0.5000 [3 per cell]  2 Cu 1.67

The value obtained for the magnetization is 2.76 μB per formula unit. As for the total energy: -4.347 eV/atom.

# 13
The following is a DFT calculation (PBE) of an optimized crystal structure of VCuH3.

Cell: 3.3764 3.3764 3.3764 Å, 90.00 90.00 90.00°
With the nearest neighbours (Å) after each atom.
Space group Pm-3m (No. 221)
Asymmetric unit:
V  0.0000  0.0000  0.0000 [1 per cell]  6 H 1.69
Cu  0.5000  0.5000  0.5000 [1 per cell]  12 H 2.39
H  0.0000  0.0000  0.5000 [3 per cell]  2 V 1.69

The value obtained for the magnetization is 1.11 μB per formula unit. As for the total energy: -4.359 eV/atom.

# 14
The following is a DFT calculation (PBE) of an optimized crystal structure of VCuH2.

Cell: 4.9912 4.9912 4.9912 Å, 90.00 90.00 90.00°
With the nearest neighbours (Å) after each atom.
Space group Fm-3m (No. 225)
Asymmetric unit:
V  0.0000  0.0000  0.0000 [4 per cell]  8 H 2.16
Cu  0.0000  0.0000  0.5000 [4 per cell]  8 H 2.16
H  0.2500  0.2500  0.2500 [8 per cell]  4 Cu 2.16, 4 V 2.16

The value obtained for the magnetization is 0.55 μB per formula unit. As for the total energy: -4.617 eV/atom.

# 15
The following is a DFT calculation (PBE) of an optimized crystal structure of V3CuH.

Cell: 4.5894 4.5894 4.5894 Å, 90.00 90.00 90.00°
With the nearest neighbours (Å) after each atom.
Space group Pm-3m (No. 221)
Asymmetric unit:
V  0.0000  0.0000  0.5000 [3 per cell]  2 Cu 2.29
Cu  0.0000  0.0000  0.0000 [1 per cell]  6 V 2.29
H  0.5000  0.5000  0.5000 [1 per cell]  12 V 3.25

The value obtained for the magnetization is 7.71 μB per formula unit. As for the total energy: -5.162 eV/atom.

# 16
The following is a DFT calculation (PBE) of an optimized crystal structure of V2CuHW.

Cell: 3.8484 3.8484 3.8722 Å, 90.00 90.00 90.00°
With the nearest neighbours (Å) after each atom.
Space group P4/mmm (No. 123)
Asymmetric unit:
V  0.0000  0.5000  0.0000 [2 per cell]  2 H 1.92
Cu  0.0000  0.0000  0.5000 [1 per cell]  4 W 2.72, 8 V 2.73
H  0.5000  0.5000  0.0000 [1 per cell]  4 V 1.92, 2 W 1.94
W  0.5000  0.5000  0.5000 [1 per cell]  2 H 1.94

The value obtained for the magnetization is 0.03 μB per formula unit. As for the total energy: -7.611 eV/atom.

# 17
The following is a DFT calculation (PBE) of an optimized crystal structure of VCu2HW.

Cell: 3.6830 3.6830 4.1153 Å, 90.00 90.00 90.00°
With the nearest neighbours (Å) after each atom.
Space group P4/mmm (No. 123)
Asymmetric unit:
V  0.0000  0.0000  0.0000 [1 per cell]  4 W 2.60, 8 Cu 2.76
Cu  0.0000  0.5000  0.5000 [2 per cell]  2 H 1.84
H  0.5000  0.5000  0.5000 [1 per cell]  4 Cu 1.84, 2 W 2.06
W  0.5000  0.5000  0.0000 [1 per cell]  2 H 2.06

The value obtained for the magnetization is 0.00 μB per formula unit. As for the total energy: -6.471 eV/atom.

# 18
The following is a DFT calculation (PBE) of an optimized crystal structure of V2CuHW.

Cell: 4.0846 4.0846 3.4072 Å, 90.00 90.00 90.00°
With the nearest neighbours (Å) after each atom.
Space group P4/mmm (No. 123)
Asymmetric unit:
V  0.0000  0.5000  0.0000 [2 per cell]  2 H 2.04
Cu  0.0000  0.0000  0.5000 [1 per cell]  2 H 1.70
H  0.0000  0.0000  0.0000 [1 per cell]  2 Cu 1.70
W  0.5000  0.5000  0.5000 [1 per cell]  8 V 2.66, 4 Cu 2.89

The value obtained for the magnetization is 0.00 μB per formula unit. As for the total energy: -7.645 eV/atom.

# 19
The following is a DFT calculation (PBE) of an optimized crystal structure of V2ZnCuH.

Cell: 3.6655 3.6655 4.0857 Å, 90.00 90.00 90.00°
With the nearest neighbours (Å) after each atom.
Space group P4/mmm (No. 123)
Asymmetric unit:
V  0.0000  0.5000  0.0000 [2 per cell]  2 H 1.83
Zn  0.0000  0.0000  0.5000 [1 per cell]  4 Cu 2.59, 8 V 2.74
Cu  0.5000  0.5000  0.5000 [1 per cell]  2 H 2.04
H  0.5000  0.5000  0.0000 [1 per cell]  4 V 1.83, 2 Cu 2.04

The value obtained for the magnetization is 0.00 μB per formula unit. As for the total energy: -5.402 eV/atom.

# 20
The following is a DFT calculation (PBE) of an optimized crystal structure of VZnCu2H.

Cell: 3.8572 3.8572 3.7112 Å, 90.00 90.00 90.00°
With the nearest neighbours (Å) after each atom.
Space group P4/mmm (No. 123)
Asymmetric unit:
V  0.0000  0.0000  0.0000 [1 per cell]  2 H 1.86
Zn  0.5000  0.5000  0.0000 [1 per cell]  8 Cu 2.68, 4 V 2.73
Cu  0.0000  0.5000  0.5000 [2 per cell]  2 H 1.93
H  0.0000  0.0000  0.5000 [1 per cell]  2 V 1.86, 4 Cu 1.93

The value obtained for the magnetization is 1.37 μB per formula unit. As for the total energy: -4.289 eV/atom.